PrZrRh2: optimized geometry, PBE.

Lattice parameters (Å, degrees): 4.855 4.855 3.429 90.00 90.00 90.00
Space group P4/mmm (No. 123)
Unique sites:
Pr: 0.000 0.000 0.000 [1 per cell]
Zr: 0.500 0.500 0.000 [1 per cell]
Rh: 0.000 0.500 0.500 [2 per cell]

Properties
Its formation energy is -0.57 eV/atom.


PrZr2Rh3: optimized geometry, PBE.

Lattice parameters (Å, degrees): 3.333 3.333 10.593 90.00 90.00 90.00
Space group P4/mmm (No. 123)
Unique sites:
Pr: 0.000 0.000 0.000 [1 per cell]
Zr: 0.000 0.000 0.341 [2 per cell]
Rh: 0.500 0.500 0.207 [2 per cell]
Rh: 0.500 0.500 0.500 [1 per cell]

Properties
Its formation energy is -0.73 eV/atom.


PrZr4Rh5: optimized geometry, PBE.

Lattice parameters (Å, degrees): 3.330 3.330 17.094 90.00 90.00 90.00
Space group P4/mmm (No. 123)
Unique sites:
Pr: 0.000 0.000 0.000 [1 per cell]
Zr: 0.000 0.000 0.211 [2 per cell]
Zr: 0.000 0.000 0.405 [2 per cell]
Rh: 0.500 0.500 0.129 [2 per cell]
Rh: 0.500 0.500 0.311 [2 per cell]
Rh: 0.500 0.500 0.500 [1 per cell]

Properties
Its formation energy is -0.74 eV/atom.


PrZrRh2: optimized geometry, PBE.

Lattice parameters (Å, degrees): 3.373 3.373 7.134 90.00 90.00 90.00
Space group P4/mmm (No. 123)
Unique sites:
Pr: 0.000 0.000 0.000 [1 per cell]
Zr: 0.000 0.000 0.500 [1 per cell]
Rh: 0.500 0.500 0.288 [2 per cell]

Properties
Its formation energy is -0.69 eV/atom.


PrRu4: optimized geometry, PBE.

Lattice parameters (Å, degrees): 4.874 4.874 4.874 90.00 90.00 90.00
Space group Pm-3m (No. 221)
Unique sites:
Pr: 0.000 0.000 0.000 [1 per cell]
Ru: 0.000 0.000 0.500 [3 per cell]
Ru: 0.500 0.500 0.500 [1 per cell]

Properties
Its formation energy is 2.55 eV/atom.


Pr2Ru: optimized geometry, PBE.

Lattice parameters (Å, degrees): 5.711 11.465 19.933 90.00 90.00 90.00
Space group Fddd (No. 70, origin choice 2)
Unique sites:
Pr: 0.125 0.125 0.033 [16 per cell]
Pr: 0.125 0.280 0.625 [16 per cell]
Ru: 0.125 0.125 0.502 [16 per cell]

Properties
Its formation energy is -0.09 eV/atom.


PrRu2: optimized geometry, PBE.

Lattice parameters (Å, degrees): 7.703 7.703 7.703 90.00 90.00 90.00
Space group Fd-3m (No. 227, origin choice 2)
Unique sites:
Pr: 0.125 0.125 0.125 [8 per cell]
Ru: 0.000 0.000 0.500 [16 per cell]

Properties
Its formation energy is -0.10 eV/atom.


PrRu6: optimized geometry, PBE.

Lattice parameters (Å, degrees): 6.713 6.713 6.713 90.00 90.00 90.00
Space group Im-3m (No. 229)
Unique sites:
Pr: 0.000 0.000 0.000 [2 per cell]
Ru: 0.000 0.250 0.500 [12 per cell]

Properties
Its formation energy is 0.64 eV/atom.